MgS2O: single point on PBEsol structure, SCAN.

It has space group I-42d (No. 122), with a = 4.987 Å, b = 4.987 Å, c = 11.527 Å, α = 90.00°, β = 90.00° and γ = 90.00°. The asymmetric unit holds Mg at (0.000, 0.000, 0.000), S at (0.148, 0.250, 0.625) and O at (0.000, 0.000, 0.500).

For the uncorrected energy, the calculation gives -124.3 eV for the cell shown. As for the crystal system: tetragonal.

=====

MgSbO2: single point on PBEsol structure, SCAN.

It has space group R-3m (No. 166, hexagonal axes), with a = 3.1434 Å, b = 3.1434 Å, c = 18.6220 Å, α = 90.00°, β = 90.00° and γ = 120.00°. The asymmetric unit holds Mg at (0.0000, 0.0000, 0.0000), Sb at (0.0000, 0.0000, 0.5000) and O at (0.0000, 0.0000, 0.3904).

For the uncorrected energy, the calculation gives -186.3 eV for the cell shown. As for the crystal system: trigonal.

=====

MgSb2O6: single point on PBEsol structure, SCAN.

It has space group P4_2/mnm (No. 136), with a = 4.680 Å, b = 4.680 Å, c = 9.318 Å, α = 90.00°, β = 90.00° and γ = 90.00°. The asymmetric unit holds Mg at (0.000, 0.000, 0.000), Sb at (0.000, 0.000, 0.333), O at (0.191, 0.191, 0.500) and O at (0.198, 0.198, 0.171).

For the uncorrected energy, the calculation gives -269.0 eV for the cell shown. As for the crystal system: tetragonal.

=====

MgTc2SbO: single point on PBEsol structure, SCAN.

It has space group P4/mmm (No. 123), with a = 4.914 Å, b = 4.914 Å, c = 5.278 Å, α = 90.00°, β = 90.00° and γ = 90.00°. The asymmetric unit holds Mg at (0.000, 0.000, 0.000), Tc at (0.000, 0.500, 0.500), Sb at (0.000, 0.000, 0.500) and O at (0.500, 0.500, 0.000).

For the uncorrected energy, the calculation gives -109.7 eV for the cell shown. As for the crystal system: tetragonal.

=====

- Which formula does entry 1 have?
  MgS2O